[1]
Computed, not measured: a geometry-optimized TcPb2Se structure at the PBE-GGA level of DFT.

Summary:
Its size of the total moment is 1.24 μB per cell. Its formation energy (no corrections) is 279.5 meV per atom. Its space group is No. 38. Its energy above the lowest structure with this stoichiometry is 269.5 meV/atom. The density of states at the Fermi level is 0.559 states/eV/atom.

Structure (extended XYZ):
```
4
Lattice="4.597 0.000 0.000 0.000 2.017 5.192 0.000 -2.017 5.192" Properties=species:S:1:pos:R:3 pbc="T T T"
Tc 0.000 0.000 0.000
Pb 0.000 0.000 3.029
Pb 2.298 0.000 6.246
Se 2.298 0.000 9.252
```

[2]
Computed, not measured: a geometry-optimized Fe2RhW structure at the PBE-GGA level of DFT.

Summary:
Its size of the total moment is 3.86 μB per cell. Its space group is No. 47. Its energy above the lowest structure with this stoichiometry is 95.6 meV/atom. The value obtained for the calculated formation energy is 0.088 eV/atom. The density of states at the Fermi level is 1.134 states/eV/atom.

Structure (extended XYZ):
```
4
Lattice="2.706 0.000 0.000 0.000 3.666 0.000 0.000 0.000 5.361" Properties=species:S:1:pos:R:3 pbc="T T T"
Fe 0.000 0.000 1.334
Fe 0.000 0.000 4.027
Rh 1.353 1.833 0.000
W 1.353 1.833 2.680
```

[3]
Computed, not measured: a geometry-optimized ScZnGa6 structure at the PBE-GGA level of DFT.

Summary:
Its size of the total moment is 0.00 μB per cell. Its space group is No. 65. The value obtained for the calculated formation energy is -0.175 eV/atom. The density of states at the Fermi level is 0.348 states/eV/atom.

Structure (extended XYZ):
```
8
Lattice="3.277 -4.991 0.000 3.277 4.991 0.000 0.000 0.000 4.405" Properties=species:S:1:pos:R:3 pbc="T T T"
Sc 0.000 0.000 0.000
Zn 3.277 0.000 0.000
Ga 1.639 2.495 0.000
Ga 3.277 2.905 2.202
Ga 1.918 0.000 2.202
Ga 1.639 -2.495 0.000
Ga 4.636 0.000 2.202
Ga 3.277 -2.905 2.202
```

[4]
Computed, not measured: a geometry-optimized TbDy14Cd structure at the PBE-GGA level of DFT.

Summary:
Its size of the total moment is 0.00 μB per cell. Its space group is No. 123. The value obtained for the calculated formation energy is -0.001 eV/atom. The density of states at the Fermi level is 1.245 states/eV/atom.

Structure (extended XYZ):
```
16
Lattice="7.017 0.000 0.000 0.000 7.017 0.000 0.000 0.000 9.983" Properties=species:S:1:pos:R:3 pbc="T T T"
Tb 0.000 0.000 0.000
Dy 0.000 0.000 4.991
Dy 0.000 3.508 0.000
Dy 0.000 3.508 4.991
Dy 1.753 1.753 2.477
Dy 1.753 1.753 7.506
Dy 1.753 5.264 2.477
Dy 1.753 5.264 7.506
Dy 3.508 0.000 0.000
Dy 3.508 0.000 4.991
Dy 3.508 3.508 4.991
Dy 5.264 1.753 2.477
Dy 5.264 1.753 7.506
Dy 5.264 5.264 2.477
Dy 5.264 5.264 7.506
Cd 3.508 3.508 0.000
```

[5]
Computed, not measured: a geometry-optimized Ag2RhAu structure at the PBE-GGA level of DFT.

Summary:
Its size of the total moment is 0.43 μB per cell. Its space group is No. 12. The value obtained for the calculated formation energy is 0.125 eV/atom. The density of states at the Fermi level is 0.698 states/eV/atom.

Structure (extended XYZ):
```
4
Lattice="4.843 -1.421 0.000 4.843 1.421 0.000 -0.849 0.000 4.888" Properties=species:S:1:pos:R:3 pbc="T T T"
Ag 2.184 0.000 1.197
Ag 6.653 0.000 3.691
Rh 4.843 0.000 0.000
Au -0.424 0.000 2.444
```

[6]
Computed, not measured: a geometry-optimized La2TbNd2 structure at the PBE-GGA level of DFT.

Summary:
Its size of the total moment is 0.00 μB per cell. Its space group is No. 12. Its energy above the lowest structure with this stoichiometry is 0.0 meV/atom. The value obtained for the calculated formation energy is 0.021 eV/atom. The density of states at the Fermi level is 1.912 states/eV/atom.

Structure (extended XYZ):
```
10
Lattice="13.089 -1.848 0.000 13.089 1.848 0.000 -1.038 0.000 7.310" Properties=species:S:1:pos:R:3 pbc="T T T"
La -0.248 0.000 1.855
La 4.346 0.000 6.201
La 20.792 0.000 1.109
La 25.387 0.000 5.455
Tb 9.999 0.000 3.295
Tb 15.140 0.000 4.015
Nd 4.840 0.000 2.566
Nd 9.500 0.000 6.944
Nd 15.639 0.000 0.366
Nd 20.299 0.000 4.744
```